1.
# PBE PmPr3Te6, relaxed
data_PmPr3Te6
_space_group_name_H-M_alt 'P 1'
_space_group_IT_number 1
_cell_length_a 7.878
_cell_length_b 8.296
_cell_length_c 8.296
_cell_angle_alpha 62.20
_cell_angle_beta 61.90
_cell_angle_gamma 61.90
loop_
_space_group_symop_operation_xyz
'x,y,z'
loop_
_atom_site_label
_atom_site_fract_x
_atom_site_fract_y
_atom_site_fract_z
_atom_site_occupancy
Pm1 0.500 0.500 0.500 1
Pr1 0.315 0.250 0.250 1
Pr2 0.685 0.750 0.750 1
Pr3 0.000 0.000 0.000 1
Te1 0.341 0.162 0.661 1
Te2 0.659 0.339 0.838 1
Te3 0.659 0.838 0.339 1
Te4 0.341 0.661 0.162 1
Te5 0.084 0.748 0.748 1
Te6 0.916 0.252 0.252 1
# E_tot, eV for the cell shown: -50.691
# Space-group type: C2/m, No. 12
# E_form (uncorrected), eV per atom: -1.28
# Calculated volume, Å³ per cell: 400.5
# Total magnetic moment, μB per formula unit: 0.000

***

2.
# PBE NaMg3U2N6, relaxed
data_NaMg3U2N6
_space_group_name_H-M_alt 'P 1'
_space_group_IT_number 1
_cell_length_a 3.458
_cell_length_b 6.676
_cell_length_c 6.994
_cell_angle_alpha 101.94
_cell_angle_beta 104.31
_cell_angle_gamma 90.00
loop_
_space_group_symop_operation_xyz
'x,y,z'
loop_
_atom_site_label
_atom_site_fract_x
_atom_site_fract_y
_atom_site_fract_z
_atom_site_occupancy
Na1 0.500 0.000 0.000 1
Mg1 0.500 0.500 0.000 1
Mg2 0.840 0.165 0.680 1
Mg3 0.160 0.835 0.320 1
U1 0.840 0.683 0.680 1
U2 0.160 0.317 0.320 1
N1 0.325 0.893 0.650 1
N2 0.674 0.566 0.348 1
N3 0.675 0.107 0.350 1
N4 0.006 0.277 0.012 1
N5 0.994 0.723 0.988 1
N6 0.326 0.434 0.652 1
# E_tot, eV for the cell shown: -90.210
# Space-group type: C2/m, No. 12
# E_form (uncorrected), eV per atom: -0.96
# Calculated volume, Å³ per cell: 152.8
# Total magnetic moment, μB per formula unit: 1.048

***

> Which of these has the highest E_form (uncorrected)?

NaMg3U2N6

***

> Which formula does entry 1 have?

PmPr3Te6

***

Repeat the first record exactly.
# PBE PmPr3Te6, relaxed
data_PmPr3Te6
_space_group_name_H-M_alt 'P 1'
_space_group_IT_number 1
_cell_length_a 7.878
_cell_length_b 8.296
_cell_length_c 8.296
_cell_angle_alpha 62.20
_cell_angle_beta 61.90
_cell_angle_gamma 61.90
loop_
_space_group_symop_operation_xyz
'x,y,z'
loop_
_atom_site_label
_atom_site_fract_x
_atom_site_fract_y
_atom_site_fract_z
_atom_site_occupancy
Pm1 0.500 0.500 0.500 1
Pr1 0.315 0.250 0.250 1
Pr2 0.685 0.750 0.750 1
Pr3 0.000 0.000 0.000 1
Te1 0.341 0.162 0.661 1
Te2 0.659 0.339 0.838 1
Te3 0.659 0.838 0.339 1
Te4 0.341 0.661 0.162 1
Te5 0.084 0.748 0.748 1
Te6 0.916 0.252 0.252 1
# E_tot, eV for the cell shown: -50.691
# Space-group type: C2/m, No. 12
# E_form (uncorrected), eV per atom: -1.28
# Calculated volume, Å³ per cell: 400.5
# Total magnetic moment, μB per formula unit: 0.000